(1)
Compound: La2InCl
Source: Alexandria via LeMat-Bulk
Functional: PBE-GGA
Structure: optimized geometry

Computed properties:
Total DFT energy (no corrections) (eV/atom): -4.455
Raw formation energy (eV per atom): -0.845
Space group: No. 44
E above lowest polymorph (meV per atom): 155
Spin magnetization (μB/f.u.): 0.0

abc: 7.6225 7.6225 4.7546
angles: 71.83 71.83 28.01
Sites, in units of the cell vectors:
La1 0.7950 0.7950 0.7050
Cl1 0.4679 0.4679 0.5321
La2 0.0326 0.0326 0.9674
In1 0.2045 0.2045 0.2955

(2)
Compound: ZrPI
Source: Alexandria via LeMat-Bulk
Functional: PBE-GGA
Structure: optimized geometry

Computed properties:
Total DFT energy (no corrections) (eV/atom): -5.963
Raw formation energy (eV per atom): -0.794
Space group: No. 12
E above lowest polymorph (meV per atom): 158
Spin magnetization (μB/f.u.): 0.0

abc: 3.9550 7.0210 7.7890
angles: 67.37 104.71 90.00
Sites, in units of the cell vectors:
P1 0.1494 0.1752 0.2990
Zr1 0.2518 0.7926 0.5034
I1 0.6212 0.6870 0.2422
I2 0.3788 0.3130 0.7578
P2 0.8506 0.8248 0.7010
Zr2 0.7482 0.2074 0.4966

Q: Which formula does entry 2 have?
A: ZrPI

Copy entry 1 word for word.
Compound: La2InCl
Source: Alexandria via LeMat-Bulk
Functional: PBE-GGA
Structure: optimized geometry

Computed properties:
Total DFT energy (no corrections) (eV/atom): -4.455
Raw formation energy (eV per atom): -0.845
Space group: No. 44
E above lowest polymorph (meV per atom): 155
Spin magnetization (μB/f.u.): 0.0

abc: 7.6225 7.6225 4.7546
angles: 71.83 71.83 28.01
Sites, in units of the cell vectors:
La1 0.7950 0.7950 0.7050
Cl1 0.4679 0.4679 0.5321
La2 0.0326 0.0326 0.9674
In1 0.2045 0.2045 0.2955

Q: What is the total DFT energy (no corrections) in the second record?
A: -5.963 eV/atom